(1)
Entry from Alexandria: a relaxed Ti8InPb2 crystal (PBE).

Cell lengths 7.3436, 13.3460, 5.0101 Å; angles 90.00, 119.86, 90.00 degrees
Closest atoms and distances in Å follow each position.
Space group C2/m (No. 12)
Symmetry-distinct sites (fractional):
Ti 0.0000 0.2123 0.0000  2 Pb 2.80, 1 In 2.83, 4 Ti 3.07-3.12
Ti 0.0741 0.5000 0.7929  6 Ti 2.57-2.83, 1 In 2.76
Ti 0.2061 0.1049 0.6762  4 Ti 2.64-2.83
In 0.0000 0.0000 0.0000  8 Ti 2.76-3.05
Pb 0.0000 0.3060 0.5000  8 Ti 2.80-2.99

- Calculated volume: 19.36 Å³ per atom
- DOS(E_F): 24.564 states/eV/cell
- Spin magnetization: 0.0 μB per formula unit
- Energy of formation from the pure elements: 96 meV/atom



(2)
Entry from Alexandria: a relaxed Ti9In2Pb crystal (PBE).

Cell lengths 4.1550, 4.1550, 12.6509 Å; angles 90.00, 90.00, 90.00 degrees
Closest atoms and distances in Å follow each position.
Space group P4/mmm (No. 123)
Symmetry-distinct sites (fractional):
Ti 0.0000 0.0000 0.0000  4 Pb 2.94, 8 Ti 3.00
Ti 0.0000 0.0000 0.3357  4 In 2.94, 8 Ti 2.94
Ti 0.0000 0.5000 0.1709  2 In 2.94, 8 Ti 2.94-3.00, 2 Pb 3.00
Ti 0.0000 0.5000 0.5000  8 Ti 2.94, 4 In 2.94
In 0.5000 0.5000 0.3350  12 Ti 2.94
Pb 0.5000 0.5000 0.0000  12 Ti 2.94-3.00

- Calculated volume: 18.20 Å³ per atom
- DOS(E_F): 14.944 states/eV/cell
- Spin magnetization: 0.0 μB per formula unit
- Energy of formation from the pure elements: -83 meV/atom